# HfRe2C

A relaxed structure of HfRe2C (GGA-PBE, the Alexandria database).

As for the formation energy: 0.081 eV per atom. The total energy comes out at -175.00 eV per cell. For the total magnetization, the calculation gives 0.000 μB/atom.

It has space group I-42d (No. 122), with a = 7.024 Å, b = 7.024 Å, c = 4.752 Å, α = 90.00°, β = 90.00° and γ = 90.00°. The inequivalent atoms are Hf at (0.000, 0.000, 0.000), Re at (0.139, 0.250, 0.625) and C at (0.000, 0.000, 0.500).


# HfReC2

A relaxed structure of HfReC2 (GGA-PBE, the Alexandria database).

As for the formation energy: 0.470 eV per atom. The total energy comes out at -155.88 eV per cell. For the total magnetization, the calculation gives 0.000 μB/atom.

It has space group Fm-3m (No. 225), with a = 5.566 Å, b = 5.566 Å, c = 5.566 Å, α = 90.00°, β = 90.00° and γ = 90.00°. The inequivalent atoms are Hf at (0.000, 0.000, 0.000), Re at (0.000, 0.000, 0.500) and C at (0.250, 0.250, 0.250).


# HfReC

A relaxed structure of HfReC (GGA-PBE, the Alexandria database).

As for the formation energy: -0.192 eV per atom. The total energy comes out at -128.81 eV per cell. For the total magnetization, the calculation gives 0.000 μB/atom.

It has space group C2/m (No. 12), with a = 9.544 Å, b = 3.076 Å, c = 6.490 Å, α = 90.00°, β = 123.31° and γ = 90.00°. The inequivalent atoms are Hf at (0.072, 0.000, 0.353), Re at (0.177, 0.500, 0.086) and C at (0.168, 0.500, 0.687).


# Hf3ReC

A relaxed structure of Hf3ReC (GGA-PBE, the Alexandria database).

As for the formation energy: 1.816 eV per atom. The total energy comes out at -42.45 eV per cell. For the total magnetization, the calculation gives 0.000 μB/atom.

It has space group Pm-3m (No. 221), with a = 4.999 Å, b = 4.999 Å, c = 4.999 Å, α = 90.00°, β = 90.00° and γ = 90.00°. The inequivalent atoms are Hf at (0.000, 0.000, 0.500), Re at (0.000, 0.000, 0.000) and C at (0.500, 0.500, 0.500).


# HfReC3

A relaxed structure of HfReC3 (GGA-PBE, the Alexandria database).

As for the formation energy: 2.733 eV per atom. The total energy comes out at -36.41 eV per cell. For the total magnetization, the calculation gives 0.000 μB/atom.

It has space group Pm-3m (No. 221), with a = 4.104 Å, b = 4.104 Å, c = 4.104 Å, α = 90.00°, β = 90.00° and γ = 90.00°. The inequivalent atoms are Hf at (0.000, 0.000, 0.000), Re at (0.500, 0.500, 0.500) and C at (0.000, 0.000, 0.500).


# Hf2Re2C

A relaxed structure of Hf2Re2C (GGA-PBE, the Alexandria database).

As for the formation energy: 0.748 eV per atom. The total energy comes out at -100.57 eV per cell. For the total magnetization, the calculation gives 0.000 μB/atom.

It has space group I4/mmm (No. 139), with a = 3.404 Å, b = 3.404 Å, c = 15.155 Å, α = 90.00°, β = 90.00° and γ = 90.00°. The inequivalent atoms are Hf at (0.000, 0.000, 0.090), Re at (0.000, 0.500, 0.250) and C at (0.000, 0.000, 0.500).


# HfReC3

A relaxed structure of HfReC3 (GGA-PBE, the Alexandria database).

As for the formation energy: 1.176 eV per atom. The total energy comes out at -44.19 eV per cell. For the total magnetization, the calculation gives 0.000 μB/atom.

It has space group Pm-3m (No. 221), with a = 3.956 Å, b = 3.956 Å, c = 3.956 Å, α = 90.00°, β = 90.00° and γ = 90.00°. The inequivalent atoms are Hf at (0.000, 0.000, 0.000), Re at (0.500, 0.500, 0.500) and C at (0.000, 0.500, 0.500).


# HfReC2

A relaxed structure of HfReC2 (GGA-PBE, the Alexandria database).

As for the formation energy: 0.147 eV per atom. The total energy comes out at -161.05 eV per cell. For the total magnetization, the calculation gives 0.000 μB/atom.

It has space group I-42d (No. 122), with a = 4.760 Å, b = 4.760 Å, c = 9.893 Å, α = 90.00°, β = 90.00° and γ = 90.00°. The inequivalent atoms are Hf at (0.000, 0.000, 0.000), Re at (0.000, 0.000, 0.500) and C at (0.211, 0.250, 0.625).


# HfReRu2C

A relaxed structure of HfReRu2C (GGA-PBE, the Alexandria database).

As for the formation energy: -0.258 eV per atom. The total energy comes out at -51.47 eV per cell. For the total magnetization, the calculation gives 0.000 μB/atom.

It has space group P4/mmm (No. 123), with a = 4.096 Å, b = 4.096 Å, c = 4.146 Å, α = 90.00°, β = 90.00° and γ = 90.00°. The inequivalent atoms are Hf at (0.000, 0.000, 0.000), Re at (0.500, 0.500, 0.000), Ru at (0.000, 0.500, 0.500) and C at (0.500, 0.500, 0.500).


# HfReSi2C

A relaxed structure of HfReSi2C (GGA-PBE, the Alexandria database).

The uncorrected formation energy is 2.1117 eV per atom. The total energy comes out at -31.91 eV per cell. For the total magnetization, the calculation gives 0.000 μB/atom.

It has space group P4/mmm (No. 123), with a = 4.884 Å, b = 4.884 Å, c = 4.012 Å, α = 90.00°, β = 90.00° and γ = 90.00°. The inequivalent atoms are Hf at (0.000, 0.000, 0.000), Re at (0.500, 0.500, 0.500), Si at (0.000, 0.500, 0.000) and C at (0.000, 0.000, 0.500).


# SmHf2ReC4

A relaxed structure of SmHf2ReC4 (GGA-PBE, the Alexandria database).

As for the formation energy: -0.360 eV per atom. The total energy comes out at -307.41 eV per cell. For the total magnetization, the calculation gives 0.000 μB/atom.

It has space group Cmcm (No. 63), with a = 3.341 Å, b = 11.700 Å, c = 11.562 Å, α = 90.00°, β = 90.00° and γ = 90.00°. The inequivalent atoms are Sm at (0.000, 0.099, 0.250), Hf at (0.000, 0.371, 0.039), Re at (0.000, 0.164, 0.750), C at (0.000, 0.000, 0.000), C at (0.000, 0.262, 0.616) and C at (0.000, 0.433, 0.250).


# HfRe2TcC

A relaxed structure of HfRe2TcC (GGA-PBE, the Alexandria database).

As for the formation energy: 0.043 eV per atom. The total energy comes out at -54.23 eV per cell. For the total magnetization, the calculation gives 0.000 μB/atom.

It has space group P4/mmm (No. 123), with a = 4.069 Å, b = 4.069 Å, c = 4.400 Å, α = 90.00°, β = 90.00° and γ = 90.00°. The inequivalent atoms are Hf at (0.000, 0.000, 0.000), Re at (0.000, 0.500, 0.500), Tc at (0.500, 0.500, 0.000) and C at (0.000, 0.000, 0.500).


# Hf2ThReC4

A relaxed structure of Hf2ThReC4 (GGA-PBE, the Alexandria database).

As for the formation energy: -0.402 eV per atom. The total energy comes out at -319.55 eV per cell. For the total magnetization, the calculation gives 0.000 μB/atom.

It has space group Cmcm (No. 63), with a = 3.372 Å, b = 11.788 Å, c = 11.460 Å, α = 90.00°, β = 90.00° and γ = 90.00°. The inequivalent atoms are Hf at (0.000, 0.129, 0.039), Th at (0.000, 0.402, 0.250), Re at (0.000, 0.337, 0.750), C at (0.000, 0.066, 0.250), C at (0.000, 0.237, 0.616) and C at (0.000, 0.500, 0.000).


# TmHf2ReC4

A relaxed structure of TmHf2ReC4 (GGA-PBE, the Alexandria database).

As for the formation energy: -0.366 eV per atom. The total energy comes out at -306.59 eV per cell. For the total magnetization, the calculation gives 0.000 μB/atom.

It has space group Cmcm (No. 63), with a = 3.282 Å, b = 11.505 Å, c = 11.557 Å, α = 90.00°, β = 90.00° and γ = 90.00°. The inequivalent atoms are Tm at (0.000, 0.107, 0.250), Hf at (0.000, 0.369, 0.037), Re at (0.000, 0.156, 0.750), C at (0.000, 0.000, 0.000), C at (0.000, 0.262, 0.619) and C at (0.000, 0.447, 0.250).


# Hf2UReC4

A relaxed structure of Hf2UReC4 (GGA-PBE, the Alexandria database).

As for the formation energy: -0.299 eV per atom. The total energy comes out at -331.72 eV per cell. For the total magnetization, the calculation gives 0.173 μB/atom.

It has space group Cmcm (No. 63), with a = 3.281 Å, b = 11.562 Å, c = 11.358 Å, α = 90.00°, β = 90.00° and γ = 90.00°. The inequivalent atoms are Hf at (0.000, 0.130, 0.038), U at (0.000, 0.388, 0.250), Re at (0.000, 0.350, 0.750), C at (0.000, 0.044, 0.250), C at (0.000, 0.235, 0.622) and C at (0.000, 0.500, 0.000).


# HfReW2C

A relaxed structure of HfReW2C (GGA-PBE, the Alexandria database).

As for the formation energy: 1.592 eV per atom. The total energy comes out at -49.57 eV per cell. For the total magnetization, the calculation gives 0.000 μB/atom.

It has space group P4/mmm (No. 123), with a = 4.930 Å, b = 4.930 Å, c = 3.870 Å, α = 90.00°, β = 90.00° and γ = 90.00°. The inequivalent atoms are Hf at (0.000, 0.000, 0.000), Re at (0.500, 0.500, 0.500), W at (0.000, 0.500, 0.500) and C at (0.500, 0.500, 0.000).


# HfRhC3

A relaxed structure of HfRhC3 (GGA-PBE, the Alexandria database).

As for the formation energy: 1.732 eV per atom. The total energy comes out at -36.31 eV per cell. For the total magnetization, the calculation gives 0.000 μB/atom.

It has space group Pm-3m (No. 221), with a = 3.937 Å, b = 3.937 Å, c = 3.937 Å, α = 90.00°, β = 90.00° and γ = 90.00°. The inequivalent atoms are Hf at (0.000, 0.000, 0.000), Rh at (0.500, 0.500, 0.500) and C at (0.000, 0.500, 0.500).


# Hf6Rh3C

A relaxed structure of Hf6Rh3C (GGA-PBE, the Alexandria database).

As for the formation energy: -0.595 eV per atom. The total energy comes out at -193.91 eV per cell. For the total magnetization, the calculation gives 0.000 μB/atom.

It has space group P2_1/c (No. 14), with a = 5.777 Å, b = 7.179 Å, c = 10.293 Å, α = 90.00°, β = 120.24° and γ = 90.00°. The inequivalent atoms are Hf at (0.075, 0.059, 0.237), Hf at (0.216, 0.721, 0.071), Hf at (0.380, 0.150, 0.051), Rh at (0.314, 0.101, 0.726), Rh at (0.500, 0.000, 0.500) and C at (0.000, 0.000, 0.000).


# HfRhC2

A relaxed structure of HfRhC2 (GGA-PBE, the Alexandria database).

As for the formation energy: 0.624 eV per atom. The total energy comes out at -133.03 eV per cell. For the total magnetization, the calculation gives 0.000 μB/atom.

It has space group Fm-3m (No. 225), with a = 5.598 Å, b = 5.598 Å, c = 5.598 Å, α = 90.00°, β = 90.00° and γ = 90.00°. The inequivalent atoms are Hf at (0.000, 0.000, 0.000), Rh at (0.000, 0.000, 0.500) and C at (0.250, 0.250, 0.250).


# HfRhC2

A relaxed structure of HfRhC2 (GGA-PBE, the Alexandria database).

As for the formation energy: 0.292 eV per atom. The total energy comes out at -138.34 eV per cell. For the total magnetization, the calculation gives 0.000 μB/atom.

It has space group I-42d (No. 122), with a = 4.637 Å, b = 4.637 Å, c = 10.292 Å, α = 90.00°, β = 90.00° and γ = 90.00°. The inequivalent atoms are Hf at (0.000, 0.000, 0.000), Rh at (0.000, 0.000, 0.500) and C at (0.211, 0.250, 0.625).